Entry P
# TaCuMo

A crystal of TaCuMo relaxed with PBEsol (SCAN, the Alexandria database).

## Properties
Symmetry: I4mm, No. 107
Total moment, μB/cell: 0.00

Unit cell a=2.6731 b=2.6731 c=12.4680 alpha=90.00 beta=90.00 gamma=90.00
Closest atoms and distances in Å follow each position.
Sites, in units of the cell vectors:
Ta 0.0000 0.0000 0.0000  4 Ta 2.67, 4 Cu 2.75
Ta 0.5000 0.5000 0.5000  4 Ta 2.67, 4 Cu 2.75
Cu 0.0000 0.0000 0.6600  4 Cu 2.67, 4 Mo 2.69, 4 Ta 2.75
Cu 0.5000 0.5000 0.1600  4 Cu 2.67, 4 Mo 2.69, 4 Ta 2.75
Mo 0.0000 0.0000 0.3137  4 Mo 2.67, 4 Cu 2.69
Mo 0.5000 0.5000 0.8137  4 Mo 2.67, 4 Cu 2.69

=====

Entry Q
# TaCuMo

A crystal of TaCuMo relaxed with PBEsol (SCAN, the Alexandria database).

## Properties
Symmetry: F-43m, No. 216
Total moment, μB/cell: 0.00

Unit cell a=5.9959 b=5.9959 c=5.9959 alpha=90.00 beta=90.00 gamma=90.00
Closest atoms and distances in Å follow each position.
Sites, in units of the cell vectors:
Ta 0.0000 0.0000 0.0000  4 Mo 2.60
Ta 0.0000 0.5000 0.5000  4 Mo 2.60
Ta 0.5000 0.0000 0.5000  4 Mo 2.60
Ta 0.5000 0.5000 0.0000  4 Mo 2.60
Cu 0.0000 0.0000 0.5000  4 Mo 2.60
Cu 0.0000 0.5000 0.0000  4 Mo 2.60
Cu 0.5000 0.0000 0.0000  4 Mo 2.60
Cu 0.5000 0.5000 0.5000  4 Mo 2.60
Mo 0.2500 0.2500 0.2500  4 Ta 2.60, 4 Cu 2.60
Mo 0.2500 0.7500 0.7500  4 Ta 2.60, 4 Cu 2.60
Mo 0.7500 0.2500 0.7500  4 Ta 2.60, 4 Cu 2.60
Mo 0.7500 0.7500 0.2500  4 Ta 2.60, 4 Cu 2.60

=====

Which of them is least stable? Easy: entry Q.

=====

Entry P
# Ta2CuMo

A crystal of Ta2CuMo relaxed with PBEsol (SCAN, the Alexandria database).

## Properties
Symmetry: P4mm, No. 99
Total moment, μB/cell: 0.00

Unit cell a=3.2608 b=3.2608 c=5.8351 alpha=90.00 beta=90.00 gamma=90.00
Closest atoms and distances in Å follow each position.
Sites, in units of the cell vectors:
Ta 0.0000 0.0000 0.0000  4 Mo 2.72, 4 Ta 2.83, 2 Cu 2.84-3.00
Ta 0.5000 0.5000 0.2807  4 Cu 2.68, 1 Mo 2.75, 4 Ta 2.83
Cu 0.0000 0.0000 0.5135  6 Ta 2.68-3.00, 4 Mo 2.69
Mo 0.5000 0.5000 0.7516  4 Cu 2.69, 5 Ta 2.72-2.75

=====

Entry Q
# Ta2CuMo

A crystal of Ta2CuMo relaxed with PBEsol (SCAN, the Alexandria database).

## Properties
Symmetry: P4/mmm, No. 123
Total moment, μB/cell: 0.00

Unit cell a=3.2352 b=3.2352 c=5.9376 alpha=90.00 beta=90.00 gamma=90.00
Closest atoms and distances in Å follow each position.
Sites, in units of the cell vectors:
Ta 0.0000 0.0000 0.2482  4 Cu 2.72, 4 Mo 2.73, 2 Ta 2.95-2.99
Ta 0.0000 0.0000 0.7518  4 Cu 2.72, 4 Mo 2.73, 2 Ta 2.95-2.99
Cu 0.5000 0.5000 0.0000  8 Ta 2.72, 2 Mo 2.97
Mo 0.5000 0.5000 0.5000  8 Ta 2.73, 2 Cu 2.97

=====

Which of them is least stable? Easy: entry P.

=====

Entry P
# CuTcMo

A crystal of CuTcMo relaxed with PBEsol (SCAN, the Alexandria database).

## Properties
Symmetry: F-43m, No. 216
Total moment, μB/cell: 0.00

Unit cell a=5.8090 b=5.8090 c=5.8090 alpha=90.00 beta=90.00 gamma=90.00
Closest atoms and distances in Å follow each position.
Sites, in units of the cell vectors:
Cu 0.0000 0.0000 0.0000  4 Tc 2.52
Cu 0.0000 0.5000 0.5000  4 Tc 2.52
Cu 0.5000 0.0000 0.5000  4 Tc 2.52
Cu 0.5000 0.5000 0.0000  4 Tc 2.52
Tc 0.2500 0.2500 0.2500  4 Mo 2.52, 4 Cu 2.52
Tc 0.2500 0.7500 0.7500  4 Mo 2.52, 4 Cu 2.52
Tc 0.7500 0.2500 0.7500  4 Mo 2.52, 4 Cu 2.52
Tc 0.7500 0.7500 0.2500  4 Mo 2.52, 4 Cu 2.52
Mo 0.0000 0.0000 0.5000  4 Tc 2.52
Mo 0.0000 0.5000 0.0000  4 Tc 2.52
Mo 0.5000 0.0000 0.0000  4 Tc 2.52
Mo 0.5000 0.5000 0.5000  4 Tc 2.52

=====

Entry Q
# CuTcMo

A crystal of CuTcMo relaxed with PBEsol (SCAN, the Alexandria database).

## Properties
Symmetry: Fmm2, No. 42
Total moment, μB/cell: 0.00

Unit cell a=3.1130 b=4.1623 c=12.7527 alpha=90.00 beta=90.00 gamma=90.00
Closest atoms and distances in Å follow each position.
Sites, in units of the cell vectors:
Cu 0.0000 0.0000 0.0000  4 Cu 2.60, 2 Tc 2.61, 2 Mo 2.63
Cu 0.0000 0.5000 0.5000  4 Cu 2.60, 2 Tc 2.61, 2 Mo 2.63
Cu 0.5000 0.0000 0.5000  4 Cu 2.60, 2 Tc 2.61, 2 Mo 2.63
Cu 0.5000 0.5000 0.0000  4 Cu 2.60, 2 Tc 2.61, 2 Mo 2.63
Tc 0.0000 0.0000 0.6638  4 Tc 2.60, 2 Cu 2.61, 2 Mo 2.67
Tc 0.0000 0.5000 0.1638  4 Tc 2.60, 2 Cu 2.61, 2 Mo 2.67
Tc 0.5000 0.0000 0.1638  4 Tc 2.60, 2 Cu 2.61, 2 Mo 2.67
Tc 0.5000 0.5000 0.6638  4 Tc 2.60, 2 Cu 2.61, 2 Mo 2.67
Mo 0.0000 0.0000 0.3335  4 Mo 2.60, 2 Cu 2.63, 2 Tc 2.67
Mo 0.0000 0.5000 0.8335  4 Mo 2.60, 2 Cu 2.63, 2 Tc 2.67
Mo 0.5000 0.0000 0.8335  4 Mo 2.60, 2 Cu 2.63, 2 Tc 2.67
Mo 0.5000 0.5000 0.3335  4 Mo 2.60, 2 Cu 2.63, 2 Tc 2.67

=====

Which of them is least stable? Easy: entry P.

=====

Entry P
# TlCuMo2

A crystal of TlCuMo2 relaxed with PBEsol (SCAN, the Alexandria database).

## Properties
Symmetry: I4/mmm, No. 139
Total moment, μB/cell: 0.00

Unit cell a=3.7771 b=3.7771 c=8.8373 alpha=90.00 beta=90.00 gamma=90.00
Closest atoms and distances in Å follow each position.
Sites, in units of the cell vectors:
Tl 0.0000 0.0000 0.0000  4 Cu 2.67, 8 Mo 2.91
Tl 0.5000 0.5000 0.5000  4 Cu 2.67, 8 Mo 2.91
Cu 0.0000 0.0000 0.5000  4 Tl 2.67, 8 Mo 2.91
Cu 0.5000 0.5000 0.0000  4 Tl 2.67, 8 Mo 2.91
Mo 0.0000 0.5000 0.2500  4 Mo 2.67, 4 Tl 2.91, 4 Cu 2.91
Mo 0.0000 0.5000 0.7500  4 Mo 2.67, 4 Tl 2.91, 4 Cu 2.91
Mo 0.5000 0.0000 0.2500  4 Mo 2.67, 4 Tl 2.91, 4 Cu 2.91
Mo 0.5000 0.0000 0.7500  4 Mo 2.67, 4 Tl 2.91, 4 Cu 2.91

=====

Entry Q
# TlCuMo2

A crystal of TlCuMo2 relaxed with PBEsol (SCAN, the Alexandria database).

## Properties
Symmetry: Pmm2, No. 25
Total moment, μB/cell: 0.00

Unit cell a=2.7416 b=4.1039 c=5.7655 alpha=90.00 beta=90.00 gamma=90.00
Closest atoms and distances in Å follow each position.
Sites, in units of the cell vectors:
Tl 0.0000 0.0000 0.0000  2 Tl 2.74, 6 Mo 2.83-2.98, 4 Cu 2.87
Cu 0.5000 0.5000 0.2557  5 Mo 2.62-2.82, 2 Cu 2.74, 4 Tl 2.87
Mo 0.0000 0.0000 0.4906  6 Mo 2.74-2.77, 4 Cu 2.82, 2 Tl 2.83-2.94
Mo 0.5000 0.5000 0.7095  1 Cu 2.62, 6 Mo 2.74-2.77

=====

Entry R
# TlCuMo2

A crystal of TlCuMo2 relaxed with PBEsol (SCAN, the Alexandria database).

## Properties
Symmetry: Cmmm, No. 65
Total moment, μB/cell: 0.00

Unit cell a=5.2473 b=8.6950 c=2.7958 alpha=90.00 beta=90.00 gamma=90.00
Closest atoms and distances in Å follow each position.
Sites, in units of the cell vectors:
Tl 0.0000 0.0000 0.0000  2 Cu 2.62, 2 Tl 2.80, 8 Mo 2.90
Tl 0.5000 0.5000 0.0000  2 Cu 2.62, 2 Tl 2.80, 8 Mo 2.90
Cu 0.0000 0.5000 0.0000  2 Tl 2.62, 2 Cu 2.80, 8 Mo 2.90
Cu 0.5000 0.0000 0.0000  2 Tl 2.62, 2 Cu 2.80, 8 Mo 2.90
Mo 0.2500 0.2500 0.5000  4 Mo 2.62-2.80, 4 Tl 2.90, 4 Cu 2.90
Mo 0.2500 0.7500 0.5000  4 Mo 2.62-2.80, 4 Tl 2.90, 4 Cu 2.90
Mo 0.7500 0.2500 0.5000  4 Mo 2.62-2.80, 4 Cu 2.90, 4 Tl 2.90
Mo 0.7500 0.7500 0.5000  4 Mo 2.62-2.80, 4 Tl 2.90, 4 Cu 2.90

=====

Which of them is least stable? Easy: entry R.

=====

Entry P
# CuMoW2

A crystal of CuMoW2 relaxed with PBEsol (SCAN, the Alexandria database).

## Properties
Symmetry: Pmmm, No. 47
Total moment, μB/cell: 0.00

Unit cell a=2.5939 b=4.1792 c=5.4722 alpha=90.00 beta=90.00 gamma=90.00
Closest atoms and distances in Å follow each position.
Sites, in units of the cell vectors:
Cu 0.0000 0.0000 0.0000  2 Cu 2.59, 2 Mo 2.74, 8 W 2.80
Mo 0.0000 0.0000 0.5000  2 Mo 2.59, 2 Cu 2.74, 8 W 2.83
W 0.5000 0.5000 0.2434  4 W 2.59-2.81, 4 Cu 2.80, 4 Mo 2.83
W 0.5000 0.5000 0.7566  4 W 2.59-2.81, 4 Cu 2.80, 4 Mo 2.83

=====

Entry Q
# CuMoW2

A crystal of CuMoW2 relaxed with PBEsol (SCAN, the Alexandria database).

## Properties
Symmetry: P4mm, No. 99
Total moment, μB/cell: 0.00

Unit cell a=2.6348 b=2.6348 c=8.4738 alpha=90.00 beta=90.00 gamma=90.00
Closest atoms and distances in Å follow each position.
Sites, in units of the cell vectors:
Cu 0.0000 0.0000 0.0000  4 Cu 2.63, 4 W 2.69, 4 Mo 2.70
Mo 0.5000 0.5000 0.2312  4 Mo 2.63, 4 Cu 2.70, 4 W 2.95
W 0.0000 0.0000 0.5004  8 W 2.63-2.95, 4 Mo 2.95
W 0.5000 0.5000 0.7703  8 W 2.63-2.95, 4 Cu 2.69

=====

Which of them is least stable? Easy: entry P.

=====

Entry P
# CuMo2W

A crystal of CuMo2W relaxed with PBEsol (SCAN, the Alexandria database).

## Properties
Symmetry: P4/mmm, No. 123
Total moment, μB/cell: 0.00

Unit cell a=3.8529 b=3.8529 c=3.8756 alpha=90.00 beta=90.00 gamma=90.00
Closest atoms and distances in Å follow each position.
Sites, in units of the cell vectors:
Cu 0.0000 0.0000 0.0000  4 W 2.72, 8 Mo 2.73
Mo 0.0000 0.5000 0.5000  4 Mo 2.72, 4 Cu 2.73, 4 W 2.73
Mo 0.5000 0.0000 0.5000  4 Mo 2.72, 4 Cu 2.73, 4 W 2.73
W 0.5000 0.5000 0.0000  4 Cu 2.72, 8 Mo 2.73

=====

Entry Q
# CuMo2W

A crystal of CuMo2W relaxed with PBEsol (SCAN, the Alexandria database).

## Properties
Symmetry: Immm, No. 71
Total moment, μB/cell: 0.00

Unit cell a=3.2422 b=4.2522 c=8.4954 alpha=90.00 beta=90.00 gamma=90.00
Closest atoms and distances in Å follow each position.
Sites, in units of the cell vectors:
Cu 0.0000 0.0000 0.0000  4 W 2.67, 8 Mo 2.73-2.96
Cu 0.5000 0.5000 0.5000  4 W 2.67, 8 Mo 2.73-2.96
Mo 0.0000 0.5000 0.2416  2 W 2.62, 4 Mo 2.68, 2 Cu 2.73
Mo 0.0000 0.5000 0.7584  2 W 2.62, 4 Mo 2.68, 2 Cu 2.73
Mo 0.5000 0.0000 0.2584  2 W 2.62, 4 Mo 2.68, 2 Cu 2.73
Mo 0.5000 0.0000 0.7416  2 W 2.62, 4 Mo 2.68, 2 Cu 2.73
W 0.0000 0.0000 0.5000  4 Mo 2.62, 4 Cu 2.67
W 0.5000 0.5000 0.0000  4 Mo 2.62, 4 Cu 2.67

=====

Entry R
# CuMo2W

A crystal of CuMo2W relaxed with PBEsol (SCAN, the Alexandria database).

## Properties
Symmetry: R-3m, No. 166
Total moment, μB/cell: 0.00

Unit cell a=2.7080 b=2.7080 c=28.0892 alpha=90.00 beta=90.00 gamma=120.00
Closest atoms and distances in Å follow each position.
Sites, in units of the cell vectors:
Cu 0.0000 0.0000 0.0000  6 Cu 2.71, 6 Mo 2.73
Cu 0.3333 0.6667 0.6667  6 Cu 2.71, 6 Mo 2.73
Cu 0.6667 0.3333 0.3333  6 Cu 2.71, 6 Mo 2.73
Mo 0.0000 0.0000 0.2539  6 Mo 2.71, 3 Cu 2.73, 3 W 2.91
Mo 0.0000 0.0000 0.7461  6 Mo 2.71, 3 Cu 2.73, 3 W 2.91
Mo 0.3333 0.6667 0.4128  6 Mo 2.71, 3 Cu 2.73, 3 W 2.91
Mo 0.3333 0.6667 0.9205  6 Mo 2.71, 3 Cu 2.73, 3 W 2.91
Mo 0.6667 0.3333 0.0795  6 Mo 2.71, 3 Cu 2.73, 3 W 2.91
Mo 0.6667 0.3333 0.5872  6 Mo 2.71, 3 Cu 2.73, 3 W 2.91
W 0.0000 0.0000 0.5000  6 W 2.71, 6 Mo 2.91
W 0.3333 0.6667 0.1667  6 W 2.71, 6 Mo 2.91
W 0.6667 0.3333 0.8333  6 W 2.71, 6 Mo 2.91

=====

Which of them is least stable? Easy: entry R.